Record 1
The following is a DFT calculation (SCAN) of Li3Pb at its PBEsol-relaxed geometry.

## Properties
- offset from the most stable computed form (eV/f.u.) = 0.24
- E (eV/cell) = -169.02
- energy of formation (eV/atom) = -0.39

a = 5.2967 Å, b = 5.2967 Å, c = 5.2967 Å
α = 90.00°, β = 90.00°, γ = 90.00°
Closest atoms and distances in Å follow each position.
Atoms (fractional coordinates):
Li 0.0000 0.2500 0.5000  2 Li 2.65, 4 Pb 2.96
Li 0.0000 0.7500 0.5000  2 Li 2.65, 4 Pb 2.96
Li 0.2500 0.5000 0.0000  2 Li 2.65, 4 Pb 2.96
Li 0.5000 0.0000 0.2500  2 Li 2.65, 4 Pb 2.96
Li 0.5000 0.0000 0.7500  2 Li 2.65, 4 Pb 2.96
Li 0.7500 0.5000 0.0000  2 Li 2.65, 4 Pb 2.96
Pb 0.0000 0.0000 0.0000  12 Li 2.96
Pb 0.5000 0.5000 0.5000  12 Li 2.96

Record 2
The following is a DFT calculation (SCAN) of Li4Pb5 at its PBEsol-relaxed geometry.

## Properties
- E (eV/cell) = -781.64
- energy of formation (eV/atom) = -0.26

a = 8.7055 Å, b = 8.7055 Å, c = 6.3700 Å
α = 90.00°, β = 90.00°, γ = 120.00°
Closest atoms and distances in Å follow each position.
Atoms (fractional coordinates):
Li 0.0000 0.0000 0.0000  6 Pb 2.97, 2 Li 3.19
Li 0.0000 0.0000 0.5000  6 Pb 2.97, 2 Li 3.19
Li 0.0000 0.3742 0.2500  9 Pb 2.94-3.27
Li 0.0000 0.6258 0.7500  9 Pb 2.94-3.27
Li 0.3742 0.0000 0.2500  9 Pb 2.94-3.27
Li 0.3742 0.3742 0.7500  9 Pb 2.94-3.27
Li 0.6258 0.0000 0.7500  9 Pb 2.94-3.27
Li 0.6258 0.6258 0.2500  9 Pb 2.94-3.27
Pb 0.0000 0.2876 0.7500  7 Li 2.94-3.27
Pb 0.0000 0.7124 0.2500  7 Li 2.94-3.27
Pb 0.2876 0.0000 0.7500  7 Li 2.94-3.27
Pb 0.2876 0.2876 0.2500  7 Li 2.94-3.27
Pb 0.3333 0.6667 0.0000  6 Li 3.17, 8 Pb 3.19-3.50
Pb 0.3333 0.6667 0.5000  6 Li 3.17, 8 Pb 3.19-3.50
Pb 0.6667 0.3333 0.0000  6 Li 3.17, 8 Pb 3.19-3.50
Pb 0.6667 0.3333 0.5000  6 Li 3.17, 8 Pb 3.19-3.50
Pb 0.7124 0.0000 0.2500  7 Li 2.94-3.27
Pb 0.7124 0.7124 0.7500  7 Li 2.94-3.27

Record 3
The following is a DFT calculation (SCAN) of Li3Pb at its PBEsol-relaxed geometry.

## Properties
- offset from the most stable computed form (eV/f.u.) = 0.65
- E (eV/cell) = -84.10
- energy of formation (eV/atom) = -0.29

a = 3.0802 Å, b = 4.4587 Å, c = 5.8969 Å
α = 90.00°, β = 90.00°, γ = 90.00°
Closest atoms and distances in Å follow each position.
Atoms (fractional coordinates):
Li 0.0000 0.0000 0.0000  2 Pb 2.95, 10 Li 3.08-3.13
Li 0.5000 0.5000 0.2643  3 Li 2.78-3.08, 4 Pb 3.05
Li 0.5000 0.5000 0.7357  3 Li 2.78-3.08, 4 Pb 3.05
Pb 0.0000 0.0000 0.5000  10 Li 2.95-3.05, 2 Pb 3.08

Record 4
The following is a DFT calculation (SCAN) of Li3Pb at its PBEsol-relaxed geometry.

## Properties
- offset from the most stable computed form (eV/f.u.) = 0.00
- E (eV/cell) = -84.75
- energy of formation (eV/atom) = -0.45

a = 4.6697 Å, b = 4.6697 Å, c = 4.6697 Å
α = 60.00°, β = 60.00°, γ = 60.00°
Closest atoms and distances in Å follow each position.
Atoms (fractional coordinates):
Li 0.0000 0.0000 0.0000  8 Li 2.86
Li 0.2500 0.2500 0.2500  4 Pb 2.86, 4 Li 2.86
Li 0.7500 0.7500 0.7500  4 Pb 2.86, 4 Li 2.86
Pb 0.5000 0.5000 0.5000  8 Li 2.86

Record 5
The following is a DFT calculation (SCAN) of Li2Pb3 at its PBEsol-relaxed geometry.

## Properties
- E (eV/cell) = -233.17
- energy of formation (eV/atom) = -0.21

a = 11.7766 Å, b = 11.7766 Å, c = 11.7766 Å
α = 17.02°, β = 17.02°, γ = 17.02°
Closest atoms and distances in Å follow each position.
Atoms (fractional coordinates):
Li 0.1031 0.1031 0.1031  6 Pb 2.99-3.05
Li 0.8969 0.8969 0.8969  6 Pb 2.99-3.05
Pb 0.2962 0.2962 0.2962  3 Li 3.05, 3 Pb 3.28
Pb 0.5000 0.5000 0.5000  6 Li 2.99
Pb 0.7038 0.7038 0.7038  3 Li 3.05, 3 Pb 3.28

Record 6
The following is a DFT calculation (SCAN) of Li3Pb at its PBEsol-relaxed geometry.

## Properties
- offset from the most stable computed form (eV/f.u.) = 0.25
- E (eV/cell) = -169.00
- energy of formation (eV/atom) = -0.39

a = 5.9907 Å, b = 5.9907 Å, c = 4.8294 Å
α = 90.00°, β = 90.00°, γ = 120.00°
Closest atoms and distances in Å follow each position.
Atoms (fractional coordinates):
Li 0.1722 0.3444 0.2500  8 Li 2.90-3.10, 4 Pb 2.94-3.00
Li 0.1722 0.8278 0.2500  8 Li 2.90-3.10, 4 Pb 2.94-3.00
Li 0.3444 0.1722 0.7500  8 Li 2.90-3.10, 4 Pb 2.94-3.00
Li 0.6556 0.8278 0.2500  8 Li 2.90-3.10, 4 Pb 2.94-3.00
Li 0.8278 0.1722 0.7500  8 Li 2.90-3.10, 4 Pb 2.94-3.00
Li 0.8278 0.6556 0.7500  8 Li 2.90-3.10, 4 Pb 2.94-3.00
Pb 0.3333 0.6667 0.7500  12 Li 2.94-3.00
Pb 0.6667 0.3333 0.2500  12 Li 2.94-3.00

Record 7
The following is a DFT calculation (SCAN) of Li3Pb at its PBEsol-relaxed geometry.

## Properties
- offset from the most stable computed form (eV/f.u.) = 0.37
- E (eV/cell) = -84.38
- energy of formation (eV/atom) = -0.36

a = 4.6035 Å, b = 4.6035 Å, c = 3.5559 Å
α = 90.00°, β = 90.00°, γ = 90.00°
Closest atoms and distances in Å follow each position.
Atoms (fractional coordinates):
Li 0.0000 0.0000 0.0000  8 Li 2.91, 4 Pb 3.26
Li 0.0000 0.5000 0.5000  4 Pb 2.91, 8 Li 2.91-3.26
Li 0.5000 0.0000 0.5000  4 Pb 2.91, 8 Li 2.91-3.26
Pb 0.5000 0.5000 0.0000  12 Li 2.91-3.26